Record 1
Below is a PBEsol-optimized structure of LiVF6, with properties calculated at the SCAN level.

Values from the calculation:
- D(E_F): 0.00 states/eV/atom
- SG: No. 33

a = 4.7975 Å, b = 8.5364 Å, c = 9.4644 Å
α = 90.00°, β = 90.00°, γ = 90.00°
Atoms (fractional coordinates):
Li 0.9911 0.1058 0.1189
Li 0.4911 0.6058 0.3811
Li 0.9911 0.3942 0.6189
Li 0.4911 0.8942 0.8811
V 0.9983 0.7466 0.1261
V 0.4983 0.2466 0.3739
V 0.9983 0.7534 0.6261
V 0.4983 0.2534 0.8739
F 0.1924 0.8998 0.0286
F 0.7273 0.7570 0.9958
F 0.1697 0.6046 0.0282
F 0.8417 0.9130 0.2125
F 0.7981 0.6154 0.2286
F 0.2670 0.7442 0.2571
F 0.7670 0.2442 0.2429
F 0.2981 0.1154 0.2714
F 0.3417 0.4130 0.2875
F 0.6697 0.1046 0.4718
F 0.2273 0.2570 0.5042
F 0.6924 0.3998 0.4714
F 0.1924 0.6002 0.5286
F 0.7273 0.7430 0.4958
F 0.1697 0.8954 0.5282
F 0.8417 0.5870 0.7125
F 0.7981 0.8846 0.7286
F 0.2670 0.7558 0.7571
F 0.7670 0.2558 0.7429
F 0.2981 0.3846 0.7714
F 0.3417 0.0870 0.7875
F 0.6697 0.3954 0.9718
F 0.2273 0.2430 0.0042
F 0.6924 0.1002 0.9714


Record 2
Below is a PBEsol-optimized structure of VCrFe2, with properties calculated at the SCAN level.

Values from the calculation:
- D(E_F): 0.71 states/eV/atom
- SG: No. 35
- DFT formation energy: -0.1 eV per formula unit

a = 2.4341 Å, b = 2.4341 Å, c = 7.9484 Å
α = 90.00°, β = 90.00°, γ = 107.81°
Site moments in Bohr magnetons follow the coordinates.
Atoms (fractional coordinates):
Cr 0.0000 0.0000 0.0075  -0.29
Fe 0.0000 0.0000 0.4941  2.23
Fe 0.5000 0.5000 0.2511  2.34
V 0.5000 0.5000 0.7473  -0.28


Record 3
Below is a PBEsol-optimized structure of AlWAu2, with properties calculated at the SCAN level.

Values from the calculation:
- D(E_F): 0.48 states/eV/atom
- SG: No. 166
- DFT formation energy: 0.2 eV per formula unit

a = 2.8522 Å, b = 2.8522 Å, c = 9.1619 Å
α = 81.05°, β = 81.05°, γ = 60.00°
Atoms (fractional coordinates):
Au 0.2537 0.2537 0.2390
Au 0.7463 0.7463 0.7610
Al 0.0000 0.0000 0.0000
W 0.5000 0.5000 0.5000


Record 4
Below is a PBEsol-optimized structure of LiCd2Te, with properties calculated at the SCAN level.

Values from the calculation:
- D(E_F): 0.25 states/eV/atom
- SG: No. 99

a = 3.9084 Å, b = 3.9084 Å, c = 5.9799 Å
α = 90.00°, β = 90.00°, γ = 90.00°
Atoms (fractional coordinates):
Cd 0.0000 0.0000 0.0320
Cd 0.5000 0.5000 0.2272
Li 0.0000 0.0000 0.5312
Te 0.5000 0.5000 0.7096


Record 5
Below is a PBEsol-optimized structure of Sn2BiPb, with properties calculated at the SCAN level.

Values from the calculation:
- D(E_F): 0.40 states/eV/atom
- SG: No. 225
- DFT formation energy: 0.7 eV per formula unit

a = 5.4073 Å, b = 5.4073 Å, c = 5.4073 Å
α = 60.00°, β = 60.00°, γ = 60.00°
Atoms (fractional coordinates):
Pb 0.0000 0.0000 0.0000
Bi 0.5000 0.5000 0.5000
Sn 0.2500 0.2500 0.2500
Sn 0.7500 0.7500 0.7500


Record 6
Below is a PBEsol-optimized structure of LaCuAs2Br, with properties calculated at the SCAN level.

Values from the calculation:
- Energy above the most stable polymorph in this dataset: 0 meV/atom
- D(E_F): 0.23 states/eV/atom
- SG: No. 123

a = 4.5931 Å, b = 4.5931 Å, c = 5.3057 Å
α = 90.00°, β = 90.00°, γ = 90.00°
Atoms (fractional coordinates):
As 0.0000 0.5000 0.0000
As 0.5000 0.0000 0.0000
Cu 0.0000 0.0000 0.0000
Br 0.0000 0.0000 0.5000
La 0.5000 0.5000 0.5000


Record 7
Below is a PBEsol-optimized structure of Li2FeO2F, with properties calculated at the SCAN level.

Values from the calculation:
- Energy above the most stable polymorph in this dataset: 60 meV/atom
- D(E_F): 0.22 states/eV/atom
- SG: No. 5

a = 4.9049 Å, b = 4.9137 Å, c = 9.5592 Å
α = 85.16°, β = 80.27°, γ = 60.06°
Site moments in Bohr magnetons follow the coordinates.
Atoms (fractional coordinates):
Li 0.3441 0.8235 0.7500  0.00
Li 0.5118 0.4946 0.2526  0.00
Li 0.9105 0.1790 0.0000  0.00
Li 0.8324 0.8235 0.2500  0.00
Li 0.9936 0.4946 0.7474  0.00
Li 0.1466 0.1896 0.2473  0.00
Li 0.2566 0.4868 0.0000  0.00
Li 0.6638 0.1896 0.7527  0.00
Fe 0.7494 0.5013 0.5000  0.95
Fe 0.6121 0.7759 0.0000  4.02
Fe 0.4164 0.1672 0.5000  0.97
Fe 0.0821 0.8358 0.5000  0.97
O 0.4508 0.8351 0.3928  0.02
O 0.6214 0.5090 0.8743  0.28
O 0.0478 0.1675 0.6081  0.02
O 0.7141 0.8351 0.6072  0.02
O 0.8696 0.5090 0.1257  0.28
O 0.1197 0.5016 0.3926  0.02
O 0.3788 0.5016 0.6074  0.02
O 0.7848 0.1675 0.3919  0.02
F 0.1985 0.8414 0.1289  0.06
F 0.2992 0.1649 0.8739  0.03
F 0.9601 0.8414 0.8711  0.06
F 0.5359 0.1649 0.1261  0.03


Record 8
Below is a PBEsol-optimized structure of Ce2MgSe4, with properties calculated at the SCAN level.

Values from the calculation:
- D(E_F): 0.27 states/eV/atom
- SG: No. 122

a = 7.5114 Å, b = 7.5114 Å, c = 7.5114 Å
α = 106.22°, β = 111.12°, γ = 111.12°
Site moments in Bohr magnetons follow the coordinates.
Atoms (fractional coordinates):
Ce 0.6282 0.3750 0.5032  0.95
Ce 0.1282 0.2532 0.6250  0.95
Ce 0.3718 0.8750 0.7468  0.95
Ce 0.8718 0.4968 0.1250  0.95
Mg 0.0000 0.0000 0.0000  0.00
Mg 0.5000 0.7500 0.2500  0.00
Se 0.7357 0.1100 0.2290  -0.03
Se 0.1190 0.6257 0.8900  -0.03
Se 0.2643 0.4933 0.3743  -0.03
Se 0.8810 0.7710 0.5067  -0.03
Se 0.6190 0.6400 0.8757  -0.03
Se 0.7643 0.1243 0.7433  -0.03
Se 0.3810 0.2567 0.0210  -0.03
Se 0.2357 0.9790 0.3600  -0.03


Record 9
Below is a PBEsol-optimized structure of NaCaB5H8O13, with properties calculated at the SCAN level.

Values from the calculation:
- D(E_F): 0.00 states/eV/atom
- SG: No. 14

a = 6.4645 Å, b = 11.3498 Å, c = 13.2573 Å
α = 90.00°, β = 90.00°, γ = 93.93°
Atoms (fractional coordinates):
Na 0.3478 0.8584 0.5201
Na 0.6522 0.6416 0.0201
Na 0.6522 0.1416 0.4799
Na 0.3478 0.3584 0.9799
Ca 0.2167 0.5848 0.6114
Ca 0.7833 0.9152 0.1114
Ca 0.7833 0.4152 0.3886
Ca 0.2167 0.0848 0.8886
B 0.6196 0.6800 0.4599
B 0.3804 0.8200 0.9599
B 0.3804 0.3200 0.5401
B 0.6196 0.1800 0.0401
B 0.3114 0.5714 0.3727
B 0.6886 0.9286 0.8727
B 0.6886 0.4286 0.6273
B 0.3114 0.0714 0.1273
B 0.8393 0.7851 0.7560
B 0.1607 0.7149 0.2560
B 0.1607 0.2149 0.2440
B 0.8393 0.2851 0.7440
B 0.8833 0.7813 0.5664
B 0.1167 0.7187 0.0664
B 0.1167 0.2187 0.4336
B 0.8833 0.2813 0.9336
B 0.9839 0.6556 0.4181
B 0.0161 0.8444 0.9181
B 0.0161 0.3444 0.5819
B 0.9839 0.1556 0.0819
H 0.2219 0.7874 0.7414
H 0.7781 0.7126 0.2414
H 0.7781 0.2126 0.2586
H 0.2219 0.2874 0.7586
H 0.4638 0.8035 0.7210
H 0.5362 0.6965 0.2210
H 0.5362 0.1965 0.2790
H 0.4638 0.3035 0.7790
H 0.6837 0.6035 0.6544
H 0.3163 0.8965 0.1544
H 0.3163 0.3965 0.3456
H 0.6837 0.1035 0.8456
H 0.0954 0.6341 0.8147
H 0.9046 0.8659 0.3147
H 0.9046 0.3659 0.1853
H 0.0954 0.1341 0.6853
H 0.0834 0.4947 0.8329
H 0.9166 0.0053 0.3329
H 0.9166 0.5053 0.1671
H 0.0834 0.9947 0.6671
H 0.8730 0.9580 0.5457
H 0.1270 0.5420 0.0457
H 0.1270 0.0420 0.4543
H 0.8730 0.4580 0.9543
H 0.4109 0.0486 0.6535
H 0.5891 0.4514 0.1535
H 0.5891 0.9514 0.3465
H 0.4109 0.5486 0.8465
H 0.6067 0.9775 0.6732
H 0.3933 0.5225 0.1732
H 0.3933 0.0225 0.3268
H 0.6067 0.4775 0.8268
O 0.0975 0.5502 0.4054
O 0.9025 0.9498 0.9054
O 0.9025 0.4498 0.5946
O 0.0975 0.0502 0.0946
O 0.8613 0.7245 0.6674
O 0.1387 0.7755 0.1674
O 0.1387 0.2755 0.3326
O 0.8613 0.2245 0.8326
O 0.4123 0.6526 0.4487
O 0.5877 0.8474 0.9487
O 0.5877 0.3474 0.5513
O 0.4123 0.1526 0.0513
O 0.3129 0.6376 0.2715
O 0.6871 0.8624 0.7715
O 0.6871 0.3624 0.7285
O 0.3129 0.1376 0.2285
O 0.7620 0.6151 0.4130
O 0.2380 0.8849 0.9130
O 0.2380 0.3849 0.5870
O 0.7620 0.1151 0.0870
O 0.6803 0.7776 0.5168
O 0.3197 0.7224 0.0168
O 0.3197 0.2224 0.4832
O 0.6803 0.2776 0.9832
O 0.3283 0.7731 0.6901
O 0.6717 0.7269 0.1901
O 0.6717 0.2269 0.3099
O 0.3283 0.2731 0.8099
O 0.5816 0.5361 0.6389
O 0.4184 0.9639 0.1389
O 0.4184 0.4639 0.3611
O 0.5816 0.0361 0.8611
O 0.0339 0.7164 0.5120
O 0.9661 0.7836 0.0120
O 0.9661 0.2836 0.4880
O 0.0339 0.2164 0.9880
O 0.1629 0.5601 0.7950
O 0.8371 0.9399 0.2950
O 0.8371 0.4399 0.2050
O 0.1629 0.0601 0.7050
O 0.0327 0.0936 0.4216
O 0.9673 0.4064 0.9216
O 0.9673 0.9064 0.5784
O 0.0327 0.5936 0.0784
O 0.9812 0.2630 0.6702
O 0.0188 0.2370 0.1702
O 0.0188 0.7370 0.3298
O 0.9812 0.7630 0.8298
O 0.5390 0.0224 0.6199
O 0.4610 0.4776 0.1199
O 0.4610 0.9776 0.3801
O 0.5390 0.5224 0.8801


Record 10
Below is a PBEsol-optimized structure of ScTeBr4, with properties calculated at the SCAN level.

Values from the calculation:
- D(E_F): 1.34 states/eV/atom
- SG: No. 216

a = 5.9939 Å, b = 5.9939 Å, c = 5.9939 Å
α = 60.00°, β = 60.00°, γ = 60.00°
Atoms (fractional coordinates):
Br 0.3754 0.3754 0.3754
Br 0.3754 0.3754 0.8737
Br 0.8737 0.3754 0.3754
Br 0.3754 0.8737 0.3754
Sc 0.7500 0.7500 0.7500
Te 0.0000 0.0000 0.0000


Record 11
Below is a PBEsol-optimized structure of Zn2InCuSe4, with properties calculated at the SCAN level.

Values from the calculation:
- SG: No. 121

a = 5.7048 Å, b = 5.7048 Å, c = 6.9909 Å
α = 114.08°, β = 114.08°, γ = 90.00°
Atoms (fractional coordinates):
Zn 0.2500 0.7500 0.5000
Zn 0.7500 0.2500 0.5000
In 0.5000 0.5000 0.0000
Cu 0.0000 0.0000 0.0000
Se 0.6382 0.6382 0.7436
Se 0.8946 0.3618 0.2564
Se 0.1054 0.1054 0.7436
Se 0.3618 0.8946 0.2564


Record 12
Below is a PBEsol-optimized structure of ReSi3Cl, with properties calculated at the SCAN level.

Values from the calculation:
- D(E_F): 0.66 states/eV/atom
- SG: No. 221

a = 4.3292 Å, b = 4.3292 Å, c = 4.3292 Å
α = 90.00°, β = 90.00°, γ = 90.00°
Site moments in Bohr magnetons follow the coordinates.
Atoms (fractional coordinates):
Re 0.5000 0.5000 0.5000  1.41
Si 0.0000 0.5000 0.0000  -0.02
Si 0.0000 0.0000 0.5000  -0.02
Si 0.5000 0.0000 0.0000  -0.02
Cl 0.0000 0.0000 0.0000  -0.01


Record 13
Below is a PBEsol-optimized structure of YCd2Pt2, with properties calculated at the SCAN level.

Values from the calculation:
- D(E_F): 0.47 states/eV/atom
- SG: No. 139
- DFT formation energy: -3.9 eV per formula unit

a = 3.9181 Å, b = 3.9181 Å, c = 7.1378 Å
α = 105.93°, β = 105.93°, γ = 90.00°
Atoms (fractional coordinates):
Y 0.0000 0.0000 0.0000
Pt 0.4021 0.4021 0.8043
Pt 0.5979 0.5979 0.1957
Cd 0.2500 0.7500 0.5000
Cd 0.7500 0.2500 0.5000


Record 14
Below is a PBEsol-optimized structure of ZrICl2, with properties calculated at the SCAN level.

Values from the calculation:
- D(E_F): 0.45 states/eV/atom
- SG: No. 166

a = 3.4077 Å, b = 3.4077 Å, c = 11.8719 Å
α = 81.75°, β = 81.75°, γ = 60.00°
Atoms (fractional coordinates):
I 0.5000 0.5000 0.5000
Zr 0.0000 0.0000 0.0000
Cl 0.9341 0.9341 0.1977
Cl 0.0659 0.0659 0.8023


Record 15
Below is a PBEsol-optimized structure of KGdO2, with properties calculated at the SCAN level.

Values from the calculation:
- D(E_F): 0.00 states/eV/atom
- SG: No. 166

a = 3.4962 Å, b = 3.4962 Å, c = 6.4889 Å
α = 74.37°, β = 74.37°, γ = 60.00°
Site moments in Bohr magnetons follow the coordinates.
Atoms (fractional coordinates):
K 0.0000 0.0000 0.0000  0.00
Gd 0.5000 0.5000 0.5000  6.98
O 0.7704 0.7704 0.6888  -0.04
O 0.2296 0.2296 0.3112  -0.04


Record 16
Below is a PBEsol-optimized structure of TeMo2W, with properties calculated at the SCAN level.

Values from the calculation:
- D(E_F): 0.93 states/eV/atom
- SG: No. 123

a = 3.1787 Å, b = 3.1787 Å, c = 6.6332 Å
α = 90.00°, β = 90.00°, γ = 90.00°
Atoms (fractional coordinates):
Mo 0.0000 0.0000 0.7339
Mo 0.0000 0.0000 0.2661
Te 0.5000 0.5000 0.0000
W 0.5000 0.5000 0.5000


Record 17
Below is a PBEsol-optimized structure of Lu2B6Os, with properties calculated at the SCAN level.

Values from the calculation:
- D(E_F): 0.08 states/eV/atom
- SG: No. 55
- DFT formation energy: -7.3 eV per formula unit

a = 3.5556 Å, b = 8.9699 Å, c = 11.3194 Å
α = 90.00°, β = 90.00°, γ = 90.00°
Atoms (fractional coordinates):
B 0.5000 0.5532 0.4340
B 0.5000 0.4468 0.5660
B 0.5000 0.0532 0.0660
B 0.5000 0.9468 0.9340
B 0.5000 0.7494 0.4208
B 0.5000 0.2506 0.5792
B 0.5000 0.2494 0.0792
B 0.5000 0.7506 0.9208
B 0.5000 0.7918 0.2657
B 0.5000 0.2082 0.7343
B 0.5000 0.2918 0.2343
B 0.5000 0.7082 0.7657
B 0.5000 0.6304 0.1842
B 0.5000 0.3696 0.8158
B 0.5000 0.1304 0.3158
B 0.5000 0.8696 0.6842
B 0.5000 0.9809 0.2129
B 0.5000 0.0191 0.7871
B 0.5000 0.4809 0.2871
B 0.5000 0.5191 0.7129
B 0.5000 0.6052 0.0291
B 0.5000 0.3948 0.9709
B 0.5000 0.1052 0.4709
B 0.5000 0.8948 0.5291
Lu 0.0000 0.3203 0.4140
Lu 0.0000 0.6797 0.5860
Lu 0.0000 0.8203 0.0860
Lu 0.0000 0.1797 0.9140
Lu 0.0000 0.9436 0.3732
Lu 0.0000 0.0564 0.6268
Lu 0.0000 0.4436 0.1268
Lu 0.0000 0.5564 0.8732
Os 0.0000 0.6373 0.3211
Os 0.0000 0.3627 0.6789
Os 0.0000 0.1373 0.1789
Os 0.0000 0.8627 0.8211


Record 18
Below is a PBEsol-optimized structure of KAlIn2, with properties calculated at the SCAN level.

Values from the calculation:
- D(E_F): 0.23 states/eV/atom
- SG: No. 44
- DFT formation energy: 0.5 eV per formula unit

a = 5.2322 Å, b = 5.2542 Å, c = 5.2411 Å
α = 120.08°, β = 119.94°, γ = 90.00°
Atoms (fractional coordinates):
K 0.5001 0.5001 0.0002
Al 0.2512 0.7512 0.5023
In 0.9995 0.9995 0.9989
In 0.7493 0.2493 0.4985


| no. | total energy (eV per atom) |
| --- | --- |
| 1 | -8.10 |
| 2 | -18.06 |
| 3 | -53.89 |
| 4 | -25.40 |
| 5 | -56.37 |
| 6 | -24.21 |
| 7 | -8.74 |
| 8 | -26.74 |
| 9 | -7.74 |
| 10 | -21.26 |
| 11 | -20.13 |
| 12 | -19.99 |
| 13 | -46.59 |
| 14 | -21.55 |
| 15 | -22.84 |
| 16 | -43.84 |
| 17 | -26.05 |
| 18 | -20.58 |